{
  "formula": "ErTmSi2",
  "functional": "PBE",
  "state": "optimized geometry",
  "lattice": [[4.221, 0.000, -0.028], [0.000, 3.799, 0.000], [-2.075, 0.000, 5.218]],
  "species": ["Tm", "Si", "Si", "Er"],
  "fractional_positions": [[0.723, 0.000, 0.985], [0.160, 0.500, 0.860], [0.005, 0.000, 0.550], [0.442, 0.500, 0.424]],
  "crystal_system": "orthorhombic",
  "energy_ev_per_atom": -5.79,
  "e_form_raw_mev_per_atom": -819,
  "de_polymorph_mev_per_atom": 0
}

***

{
  "formula": "ErTm2Si",
  "functional": "PBE",
  "state": "optimized geometry",
  "lattice": [[-2.110, 2.755, 0.367], [-3.437, -0.472, 0.379], [-0.611, 0.293, 10.875]],
  "species": ["Er", "Tm", "Tm", "Si"],
  "fractional_positions": [[0.000, 0.000, 0.000], [0.895, 0.895, 0.316], [0.105, 0.105, 0.684], [0.500, 0.500, 0.500]],
  "crystal_system": "trigonal",
  "energy_ev_per_atom": -4.70,
  "e_form_raw_mev_per_atom": 33
}

***

Number 2 is which compound?
ErTm2Si